VASP calculation (GGA+U) on a relaxed structure of Zr2CoNiF.

a b c (Å): 4.509 3.981 4.509
angles (deg): 90.00 90.00 90.00
Site moments in Bohr magnetons follow the coordinates.
Fractional positions:
Zr 0.000 0.000 0.500  -0.03
F 0.000 0.000 0.000  0.03
Co 0.500 0.500 0.500  1.97
Zr 0.500 0.000 0.000  -0.09
Ni 0.000 0.500 0.000  1.00

Summary:
D(E_F) = 3.4 states/eV/f.u.
symmetry = P4/mmm
calculated total energy = -5.548 eV per atom
ρ = 6.55 g/cm³
volume = 81 Å³ per cell